A plane-wave DFT calculation with PBE-GGA was carried out for a relaxed structure of Dy5PaS6.

For the energy relative to the elements, uncorrected, the calculation gives -1911 meV per atom. For the total moment, the calculation gives 0.0 μB/cell.

The structure belongs to space group C2/m (No. 12); the cell edges are 6.757, 11.712 and 6.760 Å and the angles 90.00°, 109.58° and 90.00°. The inequivalent atoms are Dy at (0.000, 0.000, 0.000), Dy at (0.000, 0.166, 0.500), Dy at (0.000, 0.329, 0.000), Pa at (0.000, 0.500, 0.500), S at (0.248, 0.500, 0.247) and S at (0.249, 0.334, 0.749).